# LiTl2Hg8 (PBE, optimized geometry)
data_LiTl2Hg8
_cell_length_a 4.817
_cell_length_b 4.817
_cell_length_c 12.811
_cell_angle_alpha 90.00
_cell_angle_beta 90.00
_cell_angle_gamma 90.00
_space_group_name_H-M_alt 'P 1'
_space_group_IT_number 1
_space_group_name_Hall 'P 1'
loop_
_atom_site_label
_atom_site_fract_x
_atom_site_fract_y
_atom_site_fract_z
Li1 0.000 0.000 0.000
Tl1 0.000 0.000 0.316
Tl2 0.000 0.000 0.684
Hg1 0.000 0.500 0.500
Hg2 0.500 0.000 0.500
Hg3 0.500 0.500 0.312
Hg4 0.500 0.500 0.688
Hg5 0.000 0.500 0.125
Hg6 0.500 0.000 0.125
Hg7 0.000 0.500 0.875
Hg8 0.500 0.000 0.875
# Total DFT energy (no corrections)   -0.0659 Ry/atom
# Energy of formation   -0.80 eV per formula unit

---

# LiTl17Hg11 (PBE, optimized geometry)
data_LiTl17Hg11
_cell_length_a 10.270
_cell_length_b 10.270
_cell_length_c 10.178
_cell_angle_alpha 109.34
_cell_angle_beta 109.34
_cell_angle_gamma 109.70
_space_group_name_H-M_alt 'P 1'
_space_group_IT_number 1
_space_group_name_Hall 'P 1'
loop_
_atom_site_label
_atom_site_fract_x
_atom_site_fract_y
_atom_site_fract_z
Li1 0.369 0.369 0.195
Tl1 0.994 0.994 0.366
Tl2 0.671 0.671 0.290
Tl3 0.646 0.646 0.648
Tl4 0.377 0.377 0.696
Tl5 0.000 0.000 0.004
Tl6 0.321 0.596 0.000
Tl7 0.394 0.707 0.392
Tl8 0.001 0.330 0.597
Tl9 0.999 0.356 0.998
Tl10 0.296 0.682 0.682
Tl11 0.597 0.997 0.321
Tl12 0.997 0.597 0.321
Tl13 0.682 0.296 0.682
Tl14 0.356 0.999 0.998
Tl15 0.330 0.001 0.597
Tl16 0.707 0.394 0.392
Tl17 0.596 0.321 0.000
Hg1 0.203 0.203 0.857
Hg2 0.632 0.810 0.004
Hg3 0.178 0.362 0.348
Hg4 0.827 0.012 0.632
Hg5 0.643 0.004 0.812
Hg6 0.813 0.183 0.188
Hg7 0.183 0.813 0.188
Hg8 0.004 0.643 0.812
Hg9 0.012 0.827 0.632
Hg10 0.362 0.178 0.348
Hg11 0.810 0.632 0.004
# Total DFT energy (no corrections)   -0.1167 Ry/atom
# Energy of formation   -0.58 eV per formula unit

---

# Li4Tl3Hg4 (PBE, optimized geometry)
data_Li4Tl3Hg4
_cell_length_a 3.881
_cell_length_b 8.013
_cell_length_c 9.171
_cell_angle_alpha 115.91
_cell_angle_beta 102.22
_cell_angle_gamma 90.00
_space_group_name_H-M_alt 'P 1'
_space_group_IT_number 1
_space_group_name_Hall 'P 1'
loop_
_atom_site_label
_atom_site_fract_x
_atom_site_fract_y
_atom_site_fract_z
Li1 0.248 0.748 0.497
Li2 0.752 0.252 0.503
Li3 0.500 0.801 0.000
Li4 0.500 0.199 0.000
Tl1 0.107 0.107 0.214
Tl2 0.893 0.893 0.786
Tl3 0.000 0.500 0.000
Hg1 0.335 0.144 0.671
Hg2 0.665 0.473 0.329
Hg3 0.665 0.856 0.329
Hg4 0.335 0.527 0.671
# Total DFT energy (no corrections)   -0.1197 Ry/atom
# Energy of formation   -1.95 eV per formula unit

---

# LiTl4Hg (PBE, optimized geometry)
data_LiTl4Hg
_cell_length_a 6.425
_cell_length_b 6.425
_cell_length_c 6.425
_cell_angle_alpha 60.00
_cell_angle_beta 60.00
_cell_angle_gamma 60.00
_space_group_name_H-M_alt 'P 1'
_space_group_IT_number 1
_space_group_name_Hall 'P 1'
loop_
_atom_site_label
_atom_site_fract_x
_atom_site_fract_y
_atom_site_fract_z
Li1 0.000 0.000 0.000
Tl1 0.375 0.875 0.375
Tl2 0.875 0.375 0.375
Tl3 0.375 0.375 0.875
Tl4 0.375 0.375 0.375
Hg1 0.750 0.750 0.750
# Total DFT energy (no corrections)   -0.1366 Ry/atom
# Energy of formation   0.53 eV per formula unit
# Energy relative to the lowest polymorph listed for this composition   129 meV per atom